Entry 1:
Material: RhS2ICl
Method: DFT, PBE
State: optimized geometry

For the total moment, the calculation gives 0.00 μB/f.u. As for the volume: 21.3 A^3/atom. Its offset from the most stable computed form is 0.000 eV per atom.

The structure belongs to space group P4/mmm (No. 123); the cell edges are 4.730, 4.730 and 4.769 Å and the angles 90.00°, 90.00° and 90.00°. The distinct sites, in fractional coordinates, are Rh at (0.000, 0.000, 0.000), S at (0.000, 0.500, 0.000), I at (0.500, 0.500, 0.500) and Cl at (0.000, 0.000, 0.500).

Entry 2:
Material: SbRhI2Cl
Method: DFT, PBE
State: optimized geometry

For the total moment, the calculation gives 3.01 μB/f.u. As for the volume: 36.7 A^3/atom. Its offset from the most stable computed form is 1.040 eV per atom.

The structure belongs to space group P4/mmm (No. 123); the cell edges are 5.995, 5.995 and 5.107 Å and the angles 90.00°, 90.00° and 90.00°. The distinct sites, in fractional coordinates, are Sb at (0.000, 0.000, 0.000), Rh at (0.500, 0.500, 0.000), I at (0.000, 0.500, 0.500) and Cl at (0.000, 0.000, 0.500).

Entry 3:
Material: SbRhI2Cl
Method: DFT, PBE
State: optimized geometry

For the total moment, the calculation gives 0.00 μB/f.u. As for the volume: 30.2 A^3/atom. Its offset from the most stable computed form is 0.000 eV per atom.

The structure belongs to space group P4/mmm (No. 123); the cell edges are 5.446, 5.446 and 5.097 Å and the angles 90.00°, 90.00° and 90.00°. The distinct sites, in fractional coordinates, are Sb at (0.000, 0.000, 0.000), Rh at (0.000, 0.000, 0.500), I at (0.000, 0.500, 0.500) and Cl at (0.500, 0.500, 0.000).

Entry 4:
Material: ScRh2ICl
Method: DFT, PBE
State: optimized geometry

For the total moment, the calculation gives 1.02 μB/f.u. As for the volume: 26.1 A^3/atom.

The structure belongs to space group P4/mmm (No. 123); the cell edges are 4.909, 4.909 and 5.408 Å and the angles 90.00°, 90.00° and 90.00°. The distinct sites, in fractional coordinates, are Sc at (0.000, 0.000, 0.000), Rh at (0.000, 0.500, 0.000), I at (0.000, 0.000, 0.500) and Cl at (0.500, 0.500, 0.500).

| no. | formation energy without anion corrections (meV per atom) | total DFT energy (no corrections) (eV per atom) | density (g cm⁻³) |
| --- | --- | --- | --- |
| 1 | 282 | -3.52 | 5.13 |
| 2 | 1222 | -2.06 | 4.65 |
| 3 | 182 | -3.10 | 5.64 |
| 4 | 623 | -4.26 | 5.26 |